# GGA+U NaCoReO6, relaxed
data_NaCoReO6
_chemical_formula_sum 'Na2 Co2 Re2 O12'
_cell_length_a 5.072
_cell_length_b 8.709
_cell_length_c 5.233
_cell_angle_alpha 90.00
_cell_angle_beta 90.23
_cell_angle_gamma 90.00
_symmetry_space_group_name_H-M 'C 1 2 1'
_symmetry_Int_Tables_number 5
loop_
_symmetry_equiv_pos_as_xyz
'x,y,z'
'-x,y,-z'
'x+1/2,y+1/2,z'
'-x+1/2,y+1/2,-z'
loop_
_atom_site_label
_atom_site_type_symbol
_atom_site_fract_x
_atom_site_fract_y
_atom_site_fract_z
Na1 Na 0.000 0.000 0.000
Co1 Co 0.000 0.330 0.500
Re1 Re 0.000 0.667 0.500
O1 O 0.113 0.498 0.702
O2 O 0.189 0.193 0.701
O3 O 0.192 0.806 0.703
# V = 12.843 A^3/atom
# Uncorrected energy = -120.4 eV per cell

# GGA+U Na3CoRh2O6, relaxed
data_Na3CoRh2O6
_chemical_formula_sum 'Na6 Co2 Rh4 O12'
_cell_length_a 5.350
_cell_length_b 9.269
_cell_length_c 5.502
_cell_angle_alpha 90.00
_cell_angle_beta 108.95
_cell_angle_gamma 90.00
_symmetry_space_group_name_H-M 'C 1 2/m 1'
_symmetry_Int_Tables_number 12
loop_
_symmetry_equiv_pos_as_xyz
'x,y,z'
'-x,-y,-z'
'-x,y,-z'
'x,-y,z'
'x+1/2,y+1/2,z'
'-x+1/2,-y+1/2,-z'
'-x+1/2,y+1/2,-z'
'x+1/2,-y+1/2,z'
loop_
_atom_site_label
_atom_site_type_symbol
_atom_site_fract_x
_atom_site_fract_y
_atom_site_fract_z
Na1 Na 0.000 0.000 0.000
Na2 Na 0.000 0.332 0.000
Co1 Co 0.000 0.500 0.500
Rh1 Rh 0.000 0.167 0.500
O1 O 0.226 0.340 0.696
O2 O 0.245 0.000 0.696
# V = 10.752 A^3/atom
# Uncorrected energy = -134.8 eV per cell

# GGA+U Na3CoRh3O8, relaxed
data_Na3CoRh3O8
_chemical_formula_sum 'Na6 Co2 Rh6 O16'
_cell_length_a 10.738
_cell_length_b 6.111
_cell_length_c 6.480
_cell_angle_alpha 90.00
_cell_angle_beta 123.81
_cell_angle_gamma 90.00
_symmetry_space_group_name_H-M 'C 1 2/m 1'
_symmetry_Int_Tables_number 12
loop_
_symmetry_equiv_pos_as_xyz
'x,y,z'
'-x,-y,-z'
'-x,y,-z'
'x,-y,z'
'x+1/2,y+1/2,z'
'-x+1/2,-y+1/2,-z'
'-x+1/2,y+1/2,-z'
'x+1/2,-y+1/2,z'
loop_
_atom_site_label
_atom_site_type_symbol
_atom_site_fract_x
_atom_site_fract_y
_atom_site_fract_z
Na1 Na 0.000 0.000 0.000
Na2 Na 0.250 0.250 0.000
Co1 Co 0.000 0.000 0.500
Rh1 Rh 0.000 0.500 0.500
Rh2 Rh 0.250 0.250 0.500
O1 O 0.019 0.248 0.307
O2 O 0.233 0.000 0.694
O3 O 0.233 0.500 0.699
# V = 11.779 A^3/atom
# Uncorrected energy = -173.5 eV per cell

# GGA+U Na3Co2RhO6, relaxed
data_Na3Co2RhO6
_chemical_formula_sum 'Na6 Co4 Rh2 O12'
_cell_length_a 5.205
_cell_length_b 9.014
_cell_length_c 5.507
_cell_angle_alpha 90.00
_cell_angle_beta 108.40
_cell_angle_gamma 90.00
_symmetry_space_group_name_H-M 'C 1 2/m 1'
_symmetry_Int_Tables_number 12
loop_
_symmetry_equiv_pos_as_xyz
'x,y,z'
'-x,-y,-z'
'-x,y,-z'
'x,-y,z'
'x+1/2,y+1/2,z'
'-x+1/2,-y+1/2,-z'
'-x+1/2,y+1/2,-z'
'x+1/2,-y+1/2,z'
loop_
_atom_site_label
_atom_site_type_symbol
_atom_site_fract_x
_atom_site_fract_y
_atom_site_fract_z
Na1 Na 0.000 0.000 0.000
Na2 Na 0.000 0.335 0.000
Co1 Co 0.000 0.167 0.500
Rh1 Rh 0.000 0.500 0.500
O1 O 0.218 0.000 0.693
O2 O 0.238 0.327 0.693
# V = 10.216 A^3/atom
# Uncorrected energy = -131.6 eV per cell

# GGA+U NaCo2RhO4, relaxed
data_NaCo2RhO4
_chemical_formula_sum 'Na2 Co4 Rh2 O8'
_cell_length_a 9.246
_cell_length_b 4.819
_cell_length_c 5.159
_cell_angle_alpha 90.00
_cell_angle_beta 119.61
_cell_angle_gamma 90.00
_symmetry_space_group_name_H-M 'C 1 2 1'
_symmetry_Int_Tables_number 5
loop_
_symmetry_equiv_pos_as_xyz
'x,y,z'
'-x,y,-z'
'x+1/2,y+1/2,z'
'-x+1/2,y+1/2,-z'
loop_
_atom_site_label
_atom_site_type_symbol
_atom_site_fract_x
_atom_site_fract_y
_atom_site_fract_z
Na1 Na 0.000 0.000 0.000
Co1 Co 0.240 0.983 0.726
Rh1 Rh 0.000 0.558 0.500
O1 O 0.138 0.269 0.422
O2 O 0.161 0.692 0.901
# V = 12.490 A^3/atom
# Uncorrected energy = -90.2 eV per cell

# GGA+U NaCoRhO3, relaxed
data_NaCoRhO3
_chemical_formula_sum 'Na2 Co2 Rh2 O6'
_cell_length_a 5.379
_cell_length_b 3.131
_cell_length_c 7.608
_cell_angle_alpha 90.00
_cell_angle_beta 91.21
_cell_angle_gamma 90.00
_symmetry_space_group_name_H-M 'P 1 21/m 1'
_symmetry_Int_Tables_number 11
loop_
_symmetry_equiv_pos_as_xyz
'x,y,z'
'-x,-y,-z'
'-x,y+1/2,-z'
'x,-y+1/2,z'
loop_
_atom_site_label
_atom_site_type_symbol
_atom_site_fract_x
_atom_site_fract_y
_atom_site_fract_z
Na1 Na 0.083 0.250 0.167
Co1 Co 0.241 0.750 0.495
Rh1 Rh 0.413 0.250 0.828
O1 O 0.104 0.250 0.647
O2 O 0.295 0.750 0.986
O3 O 0.450 0.250 0.335
# V = 10.675 A^3/atom
# Uncorrected energy = -69.5 eV per cell

# GGA+U Na3Co2RuO6, relaxed
data_Na3Co2RuO6
_chemical_formula_sum 'Na6 Co4 Ru2 O12'
_cell_length_a 5.287
_cell_length_b 8.904
_cell_length_c 5.511
_cell_angle_alpha 90.00
_cell_angle_beta 108.09
_cell_angle_gamma 90.00
_symmetry_space_group_name_H-M 'C 1 2/m 1'
_symmetry_Int_Tables_number 12
loop_
_symmetry_equiv_pos_as_xyz
'x,y,z'
'-x,-y,-z'
'-x,y,-z'
'x,-y,z'
'x+1/2,y+1/2,z'
'-x+1/2,-y+1/2,-z'
'-x+1/2,y+1/2,-z'
'x+1/2,-y+1/2,z'
loop_
_atom_site_label
_atom_site_type_symbol
_atom_site_fract_x
_atom_site_fract_y
_atom_site_fract_z
Na1 Na 0.000 0.000 0.000
Na2 Na 0.000 0.335 0.000
Co1 Co 0.000 0.167 0.500
Ru1 Ru 0.000 0.500 0.500
O1 O 0.214 0.000 0.692
O2 O 0.241 0.330 0.694
# V = 10.276 A^3/atom
# Uncorrected energy = -134.7 eV per cell

# GGA+U NaCo3Ru4O12, relaxed
data_NaCo3Ru4O12
_chemical_formula_sum 'Na2 Co6 Ru8 O24'
_cell_length_a 7.504
_cell_length_b 7.504
_cell_length_c 7.504
_cell_angle_alpha 90.00
_cell_angle_beta 90.00
_cell_angle_gamma 90.00
_symmetry_space_group_name_H-M 'I m -3'
_symmetry_Int_Tables_number 204
_symmetry_space_group_name_Hall '-I 2 2 3'
loop_
_atom_site_label
_atom_site_type_symbol
_atom_site_fract_x
_atom_site_fract_y
_atom_site_fract_z
Na1 Na 0.000 0.000 0.000
Co1 Co 0.000 0.000 0.500
Ru1 Ru 0.250 0.250 0.250
O1 O 0.000 0.314 0.178
# V = 10.564 A^3/atom
# Uncorrected energy = -266.7 eV per cell

# GGA+U Na3Co3RuO8, relaxed
data_Na3Co3RuO8
_chemical_formula_sum 'Na6 Co6 Ru2 O16'
_cell_length_a 10.175
_cell_length_b 5.864
_cell_length_c 6.360
_cell_angle_alpha 90.00
_cell_angle_beta 122.27
_cell_angle_gamma 90.00
_symmetry_space_group_name_H-M 'C 1 2/m 1'
_symmetry_Int_Tables_number 12
loop_
_symmetry_equiv_pos_as_xyz
'x,y,z'
'-x,-y,-z'
'-x,y,-z'
'x,-y,z'
'x+1/2,y+1/2,z'
'-x+1/2,-y+1/2,-z'
'-x+1/2,y+1/2,-z'
'x+1/2,-y+1/2,z'
loop_
_atom_site_label
_atom_site_type_symbol
_atom_site_fract_x
_atom_site_fract_y
_atom_site_fract_z
Na1 Na 0.000 0.000 0.000
Na2 Na 0.250 0.250 0.000
Co1 Co 0.000 0.500 0.500
Co2 Co 0.250 0.250 0.500
Ru1 Ru 0.000 0.000 0.500
O1 O 0.023 0.256 0.312
O2 O 0.229 0.500 0.687
O3 O 0.234 0.000 0.688
# V = 10.696 A^3/atom
# Uncorrected energy = -171.7 eV per cell

# GGA+U Na2CoRu2O6, relaxed
data_Na2CoRu2O6
_chemical_formula_sum 'Na4 Co2 Ru4 O12'
_cell_length_a 5.434
_cell_length_b 8.475
_cell_length_c 5.695
_cell_angle_alpha 90.00
_cell_angle_beta 105.52
_cell_angle_gamma 90.00
_symmetry_space_group_name_H-M 'C 1 2/m 1'
_symmetry_Int_Tables_number 12
loop_
_symmetry_equiv_pos_as_xyz
'x,y,z'
'-x,-y,-z'
'-x,y,-z'
'x,-y,z'
'x+1/2,y+1/2,z'
'-x+1/2,-y+1/2,-z'
'-x+1/2,y+1/2,-z'
'x+1/2,-y+1/2,z'
loop_
_atom_site_label
_atom_site_type_symbol
_atom_site_fract_x
_atom_site_fract_y
_atom_site_fract_z
Na1 Na 0.000 0.181 0.000
Co1 Co 0.000 0.000 0.500
Ru1 Ru 0.000 0.352 0.500
O1 O 0.213 0.167 0.682
O2 O 0.236 0.000 0.294
# V = 11.488 A^3/atom
# Uncorrected energy = -137.6 eV per cell

# GGA+U NaCo2S2O8, relaxed
data_NaCo2S2O8
_chemical_formula_sum 'Na2 Co4 S4 O16'
_cell_length_a 6.256
_cell_length_b 7.499
_cell_length_c 8.960
_cell_angle_alpha 76.39
_cell_angle_beta 69.58
_cell_angle_gamma 65.50
_symmetry_space_group_name_H-M 'P -1'
_symmetry_Int_Tables_number 2
loop_
_symmetry_equiv_pos_as_xyz
'x,y,z'
'-x,-y,-z'
loop_
_atom_site_label
_atom_site_type_symbol
_atom_site_fract_x
_atom_site_fract_y
_atom_site_fract_z
Na1 Na 0.021 0.277 0.181
Co1 Co 0.000 0.500 0.500
Co2 Co 0.325 0.689 0.162
Co3 Co 0.500 0.500 0.500
S1 S 0.219 0.253 0.807
S2 S 0.491 0.234 0.283
O1 O 0.051 0.683 0.092
O2 O 0.204 0.930 0.162
O3 O 0.211 0.418 0.661
O4 O 0.227 0.260 0.383
O5 O 0.241 0.624 0.394
O6 O 0.326 0.316 0.908
O7 O 0.371 0.740 0.617
O8 O 0.479 0.399 0.143
# V = 13.709 A^3/atom
# Uncorrected energy = -146.2 eV per cell

# GGA+U NaCoSO4, relaxed
data_NaCoSO4
_chemical_formula_sum 'Na2 Co2 S2 O8'
_cell_length_a 5.493
_cell_length_b 5.493
_cell_length_c 6.843
_cell_angle_alpha 90.00
_cell_angle_beta 90.00
_cell_angle_gamma 90.00
_symmetry_space_group_name_H-M 'I -4'
_symmetry_Int_Tables_number 82
loop_
_symmetry_equiv_pos_as_xyz
'x,y,z'
'y,-x,-z'
'-x,-y,z'
'-y,x,-z'
'x+1/2,y+1/2,z+1/2'
'y+1/2,-x+1/2,-z+1/2'
'-x+1/2,-y+1/2,z+1/2'
'-y+1/2,x+1/2,-z+1/2'
loop_
_atom_site_label
_atom_site_type_symbol
_atom_site_fract_x
_atom_site_fract_y
_atom_site_fract_z
Na1 Na 0.000 0.000 0.000
Co1 Co 0.000 0.000 0.500
S1 S 0.000 0.500 0.750
O1 O 0.140 0.322 0.626
# V = 14.750 A^3/atom
# Uncorrected energy = -77.0 eV per cell

# GGA+U Na2CoSO6, relaxed
data_Na2CoSO6
_chemical_formula_sum 'Na2 Co1 S1 O6'
_cell_length_a 5.4637
_cell_length_b 5.4637
_cell_length_c 4.8304
_cell_angle_alpha 90.00
_cell_angle_beta 90.00
_cell_angle_gamma 120.00
_symmetry_space_group_name_H-M 'P -3 m 1'
_symmetry_Int_Tables_number 164
_symmetry_space_group_name_Hall '-P 3 2"'
loop_
_atom_site_label
_atom_site_type_symbol
_atom_site_fract_x
_atom_site_fract_y
_atom_site_fract_z
Na1 Na 0.3333 0.6667 0.1347
Co1 Co 0.0000 0.0000 0.5000
S1 S 0.0000 0.0000 0.0000
O1 O 0.1397 0.2795 0.7887
# V = 12.488 A^3/atom
# Uncorrected energy = -52.3 eV per cell

# GGA+U NaCoSbO4, relaxed
data_NaCoSbO4
_chemical_formula_sum 'Na4 Co4 Sb4 O16'
_cell_length_a 6.247
_cell_length_b 6.277
_cell_length_c 9.279
_cell_angle_alpha 90.00
_cell_angle_beta 90.00
_cell_angle_gamma 90.00
_symmetry_space_group_name_H-M 'I m m a'
_symmetry_Int_Tables_number 74
_symmetry_space_group_name_Hall '-I 2b 2'
loop_
_atom_site_label
_atom_site_type_symbol
_atom_site_fract_x
_atom_site_fract_y
_atom_site_fract_z
Na1 Na 0.000 0.250 0.142
Co1 Co 0.250 0.250 0.750
Sb1 Sb 0.000 0.000 0.500
O1 O 0.000 0.030 0.713
O2 O 0.216 0.250 0.504
# V = 12.994 A^3/atom
# Uncorrected energy = -162.0 eV per cell

# GGA+U NaCoSb2O8, relaxed
data_NaCoSb2O8
_chemical_formula_sum 'Na1 Co1 Sb2 O8'
_cell_length_a 5.3308
_cell_length_b 5.3308
_cell_length_c 6.2429
_cell_angle_alpha 90.00
_cell_angle_beta 90.00
_cell_angle_gamma 120.00
_symmetry_space_group_name_H-M 'P -3'
_symmetry_Int_Tables_number 147
loop_
_symmetry_equiv_pos_as_xyz
'x,y,z'
'-x,-y,-z'
'-y,x-y,z'
'y,-x+y,-z'
'-x+y,-x,z'
'x-y,x,-z'
loop_
_atom_site_label
_atom_site_type_symbol
_atom_site_fract_x
_atom_site_fract_y
_atom_site_fract_z
Na1 Na 0.0000 0.0000 0.0000
Co1 Co 0.0000 0.0000 0.5000
Sb1 Sb 0.3333 0.6667 0.4201
O1 O 0.0526 0.3400 0.6448
O2 O 0.3333 0.6667 0.0984
# V = 12.803 A^3/atom
# Uncorrected energy = -65.0 eV per cell

# GGA+U Na3Co2SbO6, relaxed
data_Na3Co2SbO6
_chemical_formula_sum 'Na6 Co4 Sb2 O12'
_cell_length_a 5.429
_cell_length_b 9.385
_cell_length_c 5.711
_cell_angle_alpha 90.00
_cell_angle_beta 108.55
_cell_angle_gamma 90.00
_symmetry_space_group_name_H-M 'C 1 2/m 1'
_symmetry_Int_Tables_number 12
loop_
_symmetry_equiv_pos_as_xyz
'x,y,z'
'-x,-y,-z'
'-x,y,-z'
'x,-y,z'
'x+1/2,y+1/2,z'
'-x+1/2,-y+1/2,-z'
'-x+1/2,y+1/2,-z'
'x+1/2,-y+1/2,z'
loop_
_atom_site_label
_atom_site_type_symbol
_atom_site_fract_x
_atom_site_fract_y
_atom_site_fract_z
Na1 Na 0.000 0.000 0.000
Na2 Na 0.000 0.327 0.000
Co1 Co 0.000 0.166 0.500
Sb1 Sb 0.000 0.500 0.500
O1 O 0.226 0.342 0.705
O2 O 0.247 0.500 0.296
# V = 11.495 A^3/atom
# Uncorrected energy = -131.7 eV per cell

# GGA+U NaSc2CoO4, relaxed
data_NaSc2CoO4
_chemical_formula_sum 'Na2 Sc4 Co2 O8'
_cell_length_a 4.821
_cell_length_b 4.821
_cell_length_c 9.861
_cell_angle_alpha 90.00
_cell_angle_beta 90.00
_cell_angle_gamma 90.00
_symmetry_space_group_name_H-M 'I -4 2 m'
_symmetry_Int_Tables_number 121
_symmetry_space_group_name_Hall 'I -4 2'
loop_
_atom_site_label
_atom_site_type_symbol
_atom_site_fract_x
_atom_site_fract_y
_atom_site_fract_z
Na1 Na 0.000 0.000 0.000
Sc1 Sc 0.000 0.500 0.250
Co1 Co 0.000 0.000 0.500
O1 O 0.229 0.229 0.357
# V = 14.327 A^3/atom
# Uncorrected energy = -115.1 eV per cell

# GGA+U NaCoSe2O8, relaxed
data_NaCoSe2O8
_chemical_formula_sum 'Na3 Co3 Se6 O24'
_cell_length_a 4.9121
_cell_length_b 4.9121
_cell_length_c 24.1386
_cell_angle_alpha 90.00
_cell_angle_beta 90.00
_cell_angle_gamma 120.00
_symmetry_space_group_name_H-M 'R -3'
_symmetry_Int_Tables_number 148
_symmetry_space_group_name_Hall '-R 3'
loop_
_atom_site_label
_atom_site_type_symbol
_atom_site_fract_x
_atom_site_fract_y
_atom_site_fract_z
Na1 Na 0.0000 0.0000 0.0000
Co1 Co 0.0000 0.0000 0.5000
Se1 Se 0.0000 0.0000 0.2383
O1 O 0.0000 0.0000 0.3067
O2 O 0.0009 0.6537 0.1170
# V = 14.011 A^3/atom
# Uncorrected energy = -187.5 eV per cell

# GGA+U NaCoSe2O6, relaxed
data_NaCoSe2O6
_chemical_formula_sum 'Na3 Co3 Se6 O18'
_cell_length_a 5.2867
_cell_length_b 5.2867
_cell_length_c 16.6499
_cell_angle_alpha 90.00
_cell_angle_beta 90.00
_cell_angle_gamma 120.00
_symmetry_space_group_name_H-M 'R -3'
_symmetry_Int_Tables_number 148
_symmetry_space_group_name_Hall '-R 3'
loop_
_atom_site_label
_atom_site_type_symbol
_atom_site_fract_x
_atom_site_fract_y
_atom_site_fract_z
Na1 Na 0.0000 0.0000 0.0000
Co1 Co 0.0000 0.0000 0.5000
Se1 Se 0.0000 0.0000 0.2731
O1 O 0.0110 0.3780 0.9045
# V = 13.434 A^3/atom
# Uncorrected energy = -157.1 eV per cell

# GGA+U Na2CoSeO4, relaxed
data_Na2CoSeO4
_chemical_formula_sum 'Na4 Co2 Se2 O8'
_cell_length_a 5.450
_cell_length_b 5.450
_cell_length_c 7.750
_cell_angle_alpha 90.00
_cell_angle_beta 90.00
_cell_angle_gamma 90.00
_symmetry_space_group_name_H-M 'I -4'
_symmetry_Int_Tables_number 82
loop_
_symmetry_equiv_pos_as_xyz
'x,y,z'
'y,-x,-z'
'-x,-y,z'
'-y,x,-z'
'x+1/2,y+1/2,z+1/2'
'y+1/2,-x+1/2,-z+1/2'
'-x+1/2,-y+1/2,z+1/2'
'-y+1/2,x+1/2,-z+1/2'
loop_
_atom_site_label
_atom_site_type_symbol
_atom_site_fract_x
_atom_site_fract_y
_atom_site_fract_z
Na1 Na 0.000 0.000 0.000
Na2 Na 0.000 0.500 0.250
Co1 Co 0.000 0.000 0.500
Se1 Se 0.000 0.500 0.750
O1 O 0.190 0.253 0.626
# V = 14.385 A^3/atom
# Uncorrected energy = -79.0 eV per cell